A plane-wave DFT calculation with PBE with a Hubbard U was carried out for a relaxed Li3CrFe2O6 crystal.

Cell and atoms, written as POSCAR:
```
Li3CrFe2O6
1.0
-1.009 0.351 -6.591
-3.728 -0.251 -5.534
-1.588 5.702 -0.836
Li Cr Fe O
3 1 2 6
direct
0.000 0.000 0.000
0.666 0.666 0.666
0.334 0.334 0.334
0.000 0.000 0.500
0.667 0.667 0.167
0.333 0.333 0.833
0.161 0.161 0.405
0.829 0.829 0.072
0.839 0.839 0.595
0.495 0.495 0.735
0.505 0.505 0.265
0.171 0.171 0.928
```

Output
N(E_F): 0.00 states/eV per cell
Size of the total moment: 13.00 Bohr magnetons per cell
Volume: 112.7 Å³ per cell
SG: C2/m, No. 12
DFT total energy: -6.367 eV/atom